(1)
Compound: GdDyBeAu
Source: Alexandria via LeMat-Bulk
Functional: GGA-PBE
Structure: optimized geometry

Calculated values
**Crystal system**: cubic
**Calculated formation energy**: -318 meV per atom
**Total moment**: 7.1 Bohr magnetons per cell
**Energy**: -6.74 eV per atom

```
GdDyBeAu
1.0
0.000 3.551 3.551
3.551 0.000 3.551
3.551 3.551 0.000
Gd Dy Be Au
1 1 1 1
Direct
0.000 0.000 0.000 Gd
0.500 0.500 0.500 Dy
0.750 0.750 0.750 Be
0.250 0.250 0.250 Au
```

=====

(2)
Compound: ThCoBi
Source: Alexandria via LeMat-Bulk
Functional: GGA-PBE
Structure: optimized geometry

Calculated values
**Crystal system**: monoclinic
**Calculated formation energy**: -279 meV per atom
**Total moment**: 0.0 Bohr magnetons per cell
**Energy**: -6.41 eV per atom

```
ThCoBi
1.0
3.844 -3.822 0.000
3.844 3.822 0.000
-3.823 0.000 5.081
Th Co Bi
2 2 2
Direct
0.000 0.000 0.000 Th
0.501 0.501 0.001 Th
0.008 0.508 0.000 Co
0.508 0.008 0.000 Co
0.202 0.702 0.500 Bi
0.702 0.202 0.500 Bi
```